RbNa3 | PBE | relaxed

Lattice parameters (Å, degrees): 4.019 6.581 7.345 90.00 90.00 90.00
Atoms (fractional coordinates):
Na (0.000, 0.000, 0.975)
Rb (0.000, 0.500, 0.321)
Na (0.500, 0.500, 0.822)
Na (0.500, 0.000, 0.549)

Output
* space-group type: No. 25
* density: 1.32 g/cm3
* formation energy: 0.062 eV per atom
* crystal system: orthorhombic

=====

Pr4SmAu5 | PBE | relaxed

Lattice parameters (Å, degrees): 3.706 3.706 18.895 90.00 90.00 90.00
Atoms (fractional coordinates):
Pr (0.000, 0.000, 0.198)
Pr (0.000, 0.000, 0.601)
Sm (0.000, 0.000, 0.000)
Pr (0.000, 0.000, 0.802)
Au (0.500, 0.500, 0.094)
Au (0.500, 0.500, 0.299)
Au (0.500, 0.500, 0.500)
Au (0.500, 0.500, 0.701)
Au (0.500, 0.500, 0.906)
Pr (0.000, 0.000, 0.399)

Output
* space-group type: No. 123
* density: 10.87 g/cm3
* formation energy: -0.757 eV per atom
* crystal system: tetragonal

=====

Mg2ScMoH8 | PBE | relaxed

Lattice parameters (Å, degrees): 4.639 4.639 5.557 114.67 114.67 90.00
Atoms (fractional coordinates):
H (0.605, 0.104, 0.734)
H (0.896, 0.870, 0.266)
H (0.130, 0.630, 0.734)
H (0.370, 0.870, 0.266)
H (0.370, 0.395, 0.266)
Mg (0.000, 0.000, 0.000)
H (0.896, 0.395, 0.266)
Sc (0.500, 0.500, 0.000)
H (0.130, 0.104, 0.734)
H (0.605, 0.630, 0.734)
Mg (0.750, 0.250, 0.500)
Mo (0.250, 0.750, 0.500)

Output
* space-group type: No. 119
* density: 3.40 g/cm3
* crystal system: tetragonal
* total energy: -50.259 eV/cell

=====

FeOsRu2 | PBE | relaxed

Lattice parameters (Å, degrees): 8.792 8.792 8.792 17.66 17.66 17.66
Last column: magnetic moment on the atom in μB.
Atoms (fractional coordinates):
Os (0.751, 0.751, 0.751)  -0.02
Ru (0.249, 0.249, 0.249)  0.03
Fe (0.500, 0.500, 0.500)  2.40
Ru (0.000, 0.000, 0.000)  -0.14

Output
* space-group type: No. 160
* density: 13.63 g/cm3
* formation energy: 0.160 eV per atom
* crystal system: trigonal

=====

Al2CI | PBE | relaxed

Lattice parameters (Å, degrees): 5.997 5.997 6.085 60.48 60.48 90.00
Atoms (fractional coordinates):
I (0.000, 0.000, 0.000)
C (0.250, 0.750, 0.500)
I (0.750, 0.250, 0.500)
Al (0.375, 0.515, 0.750)
Al (0.485, 0.125, 0.250)
Al (0.265, 0.625, 0.250)
C (0.500, 0.500, 0.000)
Al (0.875, 0.735, 0.750)

Output
* space-group type: No. 122
* polymorph energy (0 for the lowest one): 0.00 eV/f.u.
* formation energy without anion corrections: 18 kJ per mole of atoms
* density: 4.08 g/cm3
* crystal system: tetragonal

=====

NaCr2GaB | PBE | relaxed

Lattice parameters (Å, degrees): 4.763 5.129 4.763 90.00 90.00 90.00
Last column: magnetic moment on the atom in μB.
Atoms (fractional coordinates):
Cr (0.500, 0.000, 0.000)  3.37
Cr (0.000, 0.000, 0.500)  3.72
Ga (0.000, 0.000, 0.000)  -0.11
B (0.500, 0.500, 0.500)  -0.06
Na (0.000, 0.500, 0.000)  -0.02

Output
* space-group type: No. 123
* density: 2.96 g/cm3
* formation energy: 1.745 eV per atom
* crystal system: tetragonal

=====

TbPr6YTm2 | PBE | relaxed

Lattice parameters (Å, degrees): 9.727 8.990 8.990 117.60 94.05 94.05
Atoms (fractional coordinates):
Pr (0.446, 0.238, 0.888)
Pr (0.619, 0.489, 0.705)
Pr (0.186, 0.562, 0.010)
Y (0.750, 0.590, 0.410)
Pr (0.054, 0.112, 0.762)
Pr (0.314, 0.990, 0.438)
Tm (0.047, 0.295, 0.200)
Tm (0.953, 0.705, 0.800)
Pr (0.119, 0.705, 0.489)
Tm (0.547, 0.200, 0.295)
Tm (0.453, 0.800, 0.705)
Pr (0.814, 0.438, 0.990)
Tb (0.750, 0.029, 0.971)
Pr (0.686, 0.010, 0.562)
Y (0.250, 0.410, 0.590)
Pr (0.381, 0.511, 0.295)
Pr (0.946, 0.888, 0.238)
Pr (0.554, 0.762, 0.112)
Tb (0.250, 0.971, 0.029)
Pr (0.881, 0.295, 0.511)

Output
* space-group type: No. 15
* density: 6.89 g/cm3
* formation energy: 0.113 eV per atom
* crystal system: monoclinic

=====

K2TlPS4 | PBE | relaxed

Lattice parameters (Å, degrees): 6.211 7.653 11.787 83.86 74.72 66.06
Atoms (fractional coordinates):
S (0.224, 0.210, 0.892)
Tl (0.000, 0.000, 0.000)
S (0.424, 0.710, 0.392)
S (0.865, 0.710, 0.608)
Tl (0.750, 0.500, 0.500)
K (0.183, 0.000, 0.634)
P (0.250, 0.500, 0.500)
K (0.567, 0.500, 0.866)
S (0.566, 0.210, 0.108)
S (0.885, 0.790, 0.892)
K (0.933, 0.500, 0.134)
S (0.326, 0.790, 0.108)
P (0.500, 0.000, 0.000)
S (0.184, 0.290, 0.392)
K (0.817, 0.000, 0.366)
S (0.526, 0.290, 0.608)

Output
* space-group type: No. 70
* formation energy without anion corrections: -37 kJ per mole of atoms
* density: 2.97 g/cm3
* crystal system: orthorhombic